Model i:
DFT (PBE) results for crystalline BeBF2 at its relaxed geometry.

Calculated values
Its mass density is 2.0 g/cm3. The calculation puts the magnetic moment at 1.00 μB/f.u.

Unit cell a=5.1148 b=5.1148 c=5.1160 alpha=60.01 beta=60.01 gamma=90.00
With the nearest neighbours (Å) after each atom.
Fractional positions:
F (0.3750, 0.6249, 0.7500)  2 Be 1.57
F (0.8750, 0.6251, 0.7500)  2 Be 1.57
F (0.3751, 0.1250, 0.2500)  2 Be 1.57
F (0.3749, 0.6250, 0.2500)  2 Be 1.57
Be (0.2500, 0.7500, 0.5000)  4 F 1.57
Be (0.5000, 0.5000, 0.0000)  4 F 1.57
B (0.7500, 0.2500, 0.5000)  12 F 3.00, 4 Be 3.13, 4 B 3.13
B (0.0000, 0.0000, 0.0000)  12 F 3.00, 4 Be 3.13, 4 B 3.13



Model ii:
DFT (PBE) results for crystalline BeBF2 at its relaxed geometry.

Calculated values
Its mass density is 1.8 g/cm3. The calculation puts the magnetic moment at 0.00 μB/f.u.

Unit cell a=8.5038 b=8.5038 c=8.5038 alpha=18.63 beta=18.63 gamma=18.63
With the nearest neighbours (Å) after each atom.
Fractional positions:
Be (0.0000, 0.0000, 0.0000)  2 F 1.38
F (0.0551, 0.0551, 0.0551)  1 Be 1.38
F (0.9449, 0.9449, 0.9449)  1 Be 1.38
B (0.5000, 0.5000, 0.5000)  6 B 2.75



Model iii:
DFT (PBE) results for crystalline BeBF2 at its relaxed geometry.

Calculated values
Its mass density is 2.1 g/cm3. The calculation puts the magnetic moment at 0.00 μB/f.u.

Unit cell a=9.0551 b=9.0551 c=9.0551 alpha=15.39 beta=15.39 gamma=15.39
With the nearest neighbours (Å) after each atom.
Fractional positions:
F (0.8685, 0.8685, 0.8685)  3 Be 1.69
F (0.1315, 0.1315, 0.1315)  3 Be 1.69
Be (0.5000, 0.5000, 0.5000)  6 F 1.69
B (0.0000, 0.0000, 0.0000)  6 B 2.43



model iii is the most stable structure; the next one sits 25.5 kJ/mol of atoms above it.